Below is a geometry-optimized Th3Fe structure, with properties calculated at the GGA-PBE level.

a = 6.8653 Å, b = 6.8653 Å, c = 5.2721 Å
α = 90.00°, β = 90.00°, γ = 120.00°
Last column: nearest neighbours and their distance in Å.
Positions (direct):
Th (0.1774, 0.3547, 0.2500)  6 Th 3.21-3.38, 4 Fe 3.22-3.43
Th (0.1774, 0.8226, 0.2500)  6 Th 3.21-3.38, 4 Fe 3.22-3.43
Th (0.3547, 0.1774, 0.7500)  6 Th 3.21-3.38, 4 Fe 3.22-3.43
Th (0.6453, 0.8226, 0.2500)  6 Th 3.21-3.38, 4 Fe 3.22-3.43
Th (0.8226, 0.1774, 0.7500)  6 Th 3.21-3.38, 4 Fe 3.22-3.43
Th (0.8226, 0.6453, 0.7500)  6 Th 3.21-3.38, 4 Fe 3.22-3.43
Fe (0.3333, 0.6667, 0.7500)  12 Th 3.22-3.43
Fe (0.6667, 0.3333, 0.2500)  12 Th 3.22-3.43

Values from the calculation:
The theoretical density is 11.61 g/cm³. For the formation energy, the calculation gives 138 kJ/mol of formula units.


Below is a geometry-optimized CuHgGePt structure, with properties calculated at the GGA-PBE level.

a = 4.5658 Å, b = 4.5658 Å, c = 4.5658 Å
α = 60.00°, β = 60.00°, γ = 60.00°
Last column: nearest neighbours and their distance in Å.
Positions (direct):
Cu (0.0000, 0.0000, 0.0000)  4 Ge 2.80, 4 Hg 2.80
Hg (0.2500, 0.2500, 0.2500)  4 Pt 2.80, 4 Cu 2.80
Ge (0.7500, 0.7500, 0.7500)  4 Pt 2.80, 4 Cu 2.80
Pt (0.5000, 0.5000, 0.5000)  4 Ge 2.80, 4 Hg 2.80

Values from the calculation:
The theoretical density is 13.12 g/cm³. Its distance to the lowest polymorph of the same formula is 0.000 eV/atom.


Below is a geometry-optimized Nb4CoSbN2 structure, with properties calculated at the GGA-PBE level.

a = 3.2145 Å, b = 3.2145 Å, c = 12.9394 Å
α = 90.00°, β = 90.00°, γ = 120.00°
Last column: nearest neighbours and their distance in Å.
Positions (direct):
Nb (0.0000, 0.0000, 0.1455)  3 N 2.20
Nb (0.0000, 0.0000, 0.8545)  3 N 2.20
Nb (0.6667, 0.3333, 0.3271)  3 N 2.20
Nb (0.6667, 0.3333, 0.6729)  3 N 2.20
Co (0.6667, 0.3333, 0.0000)  6 Nb 2.64
Sb (0.0000, 0.0000, 0.5000)  6 Nb 2.91, 6 Sb 3.21
N (0.3333, 0.6667, 0.2364)  6 Nb 2.20
N (0.3333, 0.6667, 0.7636)  6 Nb 2.20

Values from the calculation:
For the electronic total energy, the calculation gives -8.9508 eV per atom. The theoretical density is 8.32 g/cm³.


Below is a geometry-optimized ReTe4Se structure, with properties calculated at the GGA-PBE level.

a = 6.9039 Å, b = 7.3759 Å, c = 8.3123 Å
α = 116.25°, β = 90.55°, γ = 107.48°
Last column: nearest neighbours and their distance in Å.
Positions (direct):
Re (0.0015, 0.3030, 0.0057)  1 Se 2.47, 3 Te 2.65-2.72
Re (0.9985, 0.6970, 0.9943)  1 Se 2.47, 3 Te 2.65-2.72
Te (0.0081, 0.7600, 0.5210)  2 Se 2.87-2.89, 4 Te 2.97-3.08
Te (0.2301, 0.0229, 0.9164)  2 Re 2.80-2.82, 1 Te 3.06
Te (0.2529, 0.9674, 0.3185)  1 Re 2.72, 2 Te 2.97-2.99
Te (0.2663, 0.5010, 0.8571)  2 Re 2.65
Te (0.7337, 0.4990, 0.1429)  2 Re 2.65
Te (0.7471, 0.0326, 0.6815)  1 Re 2.72, 2 Te 2.97-2.99
Te (0.7699, 0.9771, 0.0836)  2 Re 2.80-2.82, 1 Te 3.06
Te (0.9919, 0.2400, 0.4790)  2 Se 2.87-2.89, 4 Te 2.97-3.08
Se (0.2223, 0.4812, 0.3065)  1 Re 2.47
Se (0.7777, 0.5188, 0.6935)  1 Re 2.47

Values from the calculation:
The theoretical density is 7.21 g/cm³. Its distance to the lowest polymorph of the same formula is 0.018 eV/atom.


Below is a geometry-optimized Pr2Er2GeI5 structure, with properties calculated at the GGA-PBE level.

a = 9.9369 Å, b = 9.9369 Å, c = 9.1906 Å
α = 102.04°, β = 102.04°, γ = 24.86°
Last column: nearest neighbours and their distance in Å.
Positions (direct):
Pr (0.0011, 0.0011, 0.2841)  2 Ge 2.92, 1 I 3.25
Pr (0.9989, 0.9989, 0.7159)  2 Ge 2.92, 1 I 3.25
Er (0.3565, 0.3565, 0.4275)  1 Ge 2.72
Er (0.6435, 0.6435, 0.5725)  1 Ge 2.72
Ge (0.5000, 0.5000, 0.5000)  2 Er 2.72, 4 Pr 2.92
I (0.1698, 0.1698, 0.8184)  2 Er 3.07, 1 Pr 3.25
I (0.1760, 0.1760, 0.3501)  3 Er 3.11-3.42, 1 Pr 3.32
I (0.5000, 0.5000, 0.0000)  4 Pr 3.37
I (0.8240, 0.8240, 0.6499)  3 Er 3.11-3.42, 1 Pr 3.32
I (0.8302, 0.8302, 0.1816)  2 Er 3.07, 1 Pr 3.25

Values from the calculation:
For the electronic total energy, the calculation gives -4.3057 eV per atom. The theoretical density is 5.90 g/cm³.


Below is a geometry-optimized Te2Pd structure, with properties calculated at the GGA-PBE level.

a = 6.4785 Å, b = 6.4785 Å, c = 6.4785 Å
α = 34.13°, β = 34.13°, γ = 34.13°
Last column: nearest neighbours and their distance in Å.
Positions (direct):
Te (0.0000, 0.0000, 0.0000)  3 Pd 2.73
Te (0.1775, 0.1775, 0.1775)  3 Pd 2.73
Pd (0.7551, 0.7551, 0.7551)  6 Te 2.73

Values from the calculation:
For the electronic total energy, the calculation gives -3.9803 eV per atom. The theoretical density is 7.87 g/cm³.